(1)
Crystalline Ac15PrY4 at its relaxed geometry, computed with PBE.

Energy relative to the elements   0.0251 eV/atom

abc: 5.517 5.517 27.452
angles: 90.00 90.00 90.00
Space group P4/mmm (No. 123)
Symmetry-distinct sites (fractional):
1 Ac 0.000 0.000 0.000 [1 per cell]
2 Ac 0.000 0.000 0.201 [2 per cell]
3 Ac 0.000 0.000 0.400 [2 per cell]
4 Ac 0.000 0.500 0.101 [4 per cell]
5 Ac 0.000 0.500 0.301 [4 per cell]
6 Ac 0.000 0.500 0.500 [2 per cell]
7 Pr 0.500 0.500 0.000 [1 per cell]
8 Y 0.500 0.500 0.201 [2 per cell]
9 Y 0.500 0.500 0.400 [2 per cell]


(2)
Crystalline VBiAs at its relaxed geometry, computed with PBE.

Energy relative to the elements   0.0293 eV/atom

abc: 5.810 3.341 6.815
angles: 90.00 96.74 90.00
Space group P2_1/m (No. 11)
Symmetry-distinct sites (fractional):
1 V 0.230 0.250 0.003 [2 per cell]
2 Bi 0.376 0.750 0.697 [2 per cell]
3 As 0.117 0.750 0.242 [2 per cell]


(3)
Crystalline Sc2Hg2Ge at its relaxed geometry, computed with PBE.

Relative energy among the computed polymorphs   15 meV per atom
Energy relative to the elements   -0.2477 eV/atom

abc: 7.200 7.200 4.250
angles: 90.00 90.00 90.00
Space group P4/mbm (No. 127)
Symmetry-distinct sites (fractional):
1 Sc 0.166 0.334 0.000 [4 per cell]
2 Hg 0.138 0.638 0.500 [4 per cell]
3 Ge 0.000 0.000 0.500 [2 per cell]


(4)
Crystalline PuUAu2 at its relaxed geometry, computed with PBE.

Relative energy among the computed polymorphs   57 meV per atom
Energy relative to the elements   -0.1486 eV/atom

abc: 7.229 7.229 7.229
angles: 90.00 90.00 90.00
Space group Fm-3m (No. 225)
Symmetry-distinct sites (fractional):
1 Pu 0.000 0.000 0.000 [4 per cell]
2 U 0.000 0.000 0.500 [4 per cell]
3 Au 0.250 0.250 0.250 [8 per cell]


(5)
Crystalline CrPt5Rh at its relaxed geometry, computed with PBE.

Energy relative to the elements   -0.0620 eV/atom

abc: 5.499 7.638 5.472
angles: 90.00 90.00 90.00
Space group Cmmm (No. 65)
Symmetry-distinct sites (fractional):
1 Cr 0.000 0.000 0.000 [2 per cell]
2 Pt 0.000 0.500 0.000 [2 per cell]
3 Pt 0.250 0.250 0.256 [8 per cell]
4 Rh 0.000 0.500 0.500 [2 per cell]


(6)
Crystalline Cd3Ag2F8 at its relaxed geometry, computed with PBE.

Relative energy among the computed polymorphs   14 meV per atom
Formation energy (no corrections)   -1.774 eV/atom

abc: 7.031 3.582 9.178
angles: 90.00 106.34 90.00
Space group P2/m (No. 10)
Symmetry-distinct sites (fractional):
1 Cd 0.000 0.000 0.000 [1 per cell]
2 Cd 0.274 0.500 0.331 [2 per cell]
3 Ag 0.228 0.000 0.695 [2 per cell]
4 F 0.056 0.500 0.858 [2 per cell]
5 F 0.127 0.000 0.401 [2 per cell]
6 F 0.300 0.000 0.168 [2 per cell]
7 F 0.396 0.500 0.609 [2 per cell]